Model a:
The following is a GGA-PBE calculation of AgPd3Au4 after structural relaxation, from Alexandria.

Cell lengths 2.931, 4.936, 9.515 Å; angles 86.74, 81.19, 89.87 degrees
Atoms (fractional coordinates):
Ag1 0.000 0.000 0.000
Pd1 0.374 0.122 0.250
Pd2 0.500 0.500 0.000
Pd3 0.626 0.878 0.750
Au1 0.123 0.379 0.756
Au2 0.250 0.751 0.501
Au3 0.750 0.249 0.499
Au4 0.877 0.621 0.244

## Properties
The magnetization is 0.00 μB per atom.

***

Model b:
The following is a GGA-PBE calculation of AgPd3Au4 after structural relaxation, from Alexandria.

Cell lengths 8.545, 8.545, 4.101 Å; angles 103.83, 103.83, 27.83 degrees
Atoms (fractional coordinates):
Ag1 0.000 0.000 0.000
Pd1 0.250 0.250 0.250
Pd2 0.500 0.500 0.500
Pd3 0.750 0.750 0.750
Au1 0.127 0.127 0.627
Au2 0.373 0.373 0.873
Au3 0.627 0.627 0.127
Au4 0.873 0.873 0.373

## Properties
The magnetization is 0.00 μB per atom.

***

It is model a that is the least stable of them.

***

Model a:
The following is a GGA-PBE calculation of Ag3Pd4Au after structural relaxation, from Alexandria.

Cell lengths 8.630, 8.628, 4.036 Å; angles 76.49, 76.46, 27.05 degrees
Atoms (fractional coordinates):
Ag1 0.000 0.000 0.000
Ag2 0.250 0.250 0.750
Ag3 0.750 0.750 0.250
Pd1 0.125 0.125 0.375
Pd2 0.375 0.375 0.125
Pd3 0.625 0.625 0.875
Pd4 0.875 0.875 0.625
Au1 0.500 0.500 0.500

## Properties
The magnetization is 0.00 μB per atom.

***

Model b:
The following is a GGA-PBE calculation of Ag3Pd4Au after structural relaxation, from Alexandria.

Cell lengths 6.033, 6.033, 6.033 Å; angles 130.92, 105.35, 94.61 degrees
Atoms (fractional coordinates):
Ag1 0.000 0.000 0.000
Ag2 0.506 0.693 0.813
Ag3 0.881 0.693 0.187
Pd1 0.068 0.385 0.683
Pd2 0.304 0.057 0.752
Pd3 0.304 0.552 0.248
Pd4 0.702 0.385 0.317
Au1 0.595 0.095 0.500

## Properties
The magnetization is 0.00 μB per atom.

***

It is model b that is the least stable of them.